A relaxed structure of BePtI2O. Source: the Alexandria database, functional GGA-PBEsol.

Cell and atoms, written as POSCAR:
```
BePtI2O
1.0
5.482 0.000 0.000
0.000 5.482 0.000
0.000 0.000 3.779
Be Pt I O
1 1 2 1
Direct
0.000 0.000 0.000
0.500 0.500 0.500
0.000 0.500 0.500
0.500 0.000 0.500
0.500 0.500 0.000
```

Output
**Space-group type**: P4/mmm
**E_form (uncorrected)**: 0.42 eV per atom
**DFT total energy**: -17.6 eV per formula unit

***

A relaxed structure of K2BeSb. Source: the Alexandria database, functional GGA-PBEsol.

Cell and atoms, written as POSCAR:
```
K2BeSb
1.0
-2.624 2.624 4.086
2.624 -2.624 4.086
2.624 2.624 -4.086
K Be Sb
2 1 1
Direct
0.000 0.000 0.000
0.750 0.250 0.500
0.250 0.750 0.500
0.500 0.500 0.000
```

Output
**Energy above the most stable polymorph in this dataset**: 1.37 eV/f.u.
**Space-group type**: I-4m2
**E_form (uncorrected)**: 0.35 eV per atom
**DFT total energy**: -9.4 eV per formula unit

***

A relaxed structure of Be2Nb2Zn. Source: the Alexandria database, functional GGA-PBEsol.

Cell and atoms, written as POSCAR:
```
Be2Nb2Zn
1.0
6.056 0.000 0.000
0.000 6.056 0.000
0.000 0.000 3.541
Be Nb Zn
4 4 2
Direct
0.121 0.379 0.000
0.379 0.879 0.000
0.621 0.121 0.000
0.879 0.621 0.000
0.175 0.675 0.500
0.325 0.175 0.500
0.675 0.825 0.500
0.825 0.325 0.500
0.000 0.000 0.000
0.500 0.500 0.000
```

Output
**Energy of formation**: -0.129 eV/atom
**Space-group type**: P4/mbm
**DFT total energy**: -31.9 eV per formula unit

***

A relaxed structure of K2NaAsP. Source: the Alexandria database, functional GGA-PBEsol.

Cell and atoms, written as POSCAR:
```
K2NaAsP
1.0
5.494 0.000 0.000
0.000 5.494 0.000
0.000 0.000 4.929
K Na As P
2 1 1 1
Direct
0.000 0.500 0.000
0.500 0.000 0.000
0.000 0.000 0.000
0.500 0.500 0.500
0.000 0.000 0.500
```

Output
**Energy of formation**: 0.433 eV/atom
**Space-group type**: P4/mmm
**DFT total energy**: -12.4 eV per formula unit

***

Per-record volume, Å³ per atom: 22.715, 28.137, 12.984, 29.755